# Sr2LiGe3 (PBE-GGA, relaxed)
# E ... -3.748 eV/atom
# M_tot ... 0.00 μB/f.u.
# Distance to the lowest polymorph of the same formula ... 0.0058 eV/atom
# Calculated volume ... 25.39 Å³ per atom
# Energy relative to the elements ... -3.4 eV/f.u.
data_Sr2LiGe3
_cell_length_a 8.7231
_cell_length_b 15.1614
_cell_length_c 18.4311
_cell_angle_alpha 90.00
_cell_angle_beta 90.00
_cell_angle_gamma 90.00
_symmetry_space_group_name_H-M 'F d d d'
_symmetry_Int_Tables_number 70
loop_
_symmetry_equiv_pos_as_xyz
'x,y,z'
'-x,-y,-z'
'-x+1/4,-y+1/4,z'
'x+1/4,y+1/4,-z'
'x,-y+1/4,-z+1/4'
'-x,y+1/4,z+1/4'
'-x+1/4,y,-z+1/4'
'x+1/4,-y,z+1/4'
'x,y+1/2,z+1/2'
'-x,-y+1/2,-z+1/2'
'-x+1/4,-y+3/4,z+1/2'
'x+1/4,y+3/4,-z+1/2'
'x,-y+3/4,-z+3/4'
'-x,y+3/4,z+3/4'
'-x+1/4,y+1/2,-z+3/4'
'x+1/4,-y+1/2,z+3/4'
'x+1/2,y,z+1/2'
'-x+1/2,-y,-z+1/2'
'-x+3/4,-y+1/4,z+1/2'
'x+3/4,y+1/4,-z+1/2'
'x+1/2,-y+1/4,-z+3/4'
'-x+1/2,y+1/4,z+3/4'
'-x+3/4,y,-z+3/4'
'x+3/4,-y,z+3/4'
'x+1/2,y+1/2,z'
'-x+1/2,-y+1/2,-z'
'-x+3/4,-y+3/4,z'
'x+3/4,y+3/4,-z'
'x+1/2,-y+3/4,-z+1/4'
'-x+1/2,y+3/4,z+1/4'
'-x+3/4,y+1/2,-z+1/4'
'x+3/4,-y+1/2,z+1/4'
loop_
_atom_site_label
_atom_site_type_symbol
_atom_site_fract_x
_atom_site_fract_y
_atom_site_fract_z
_atom_site_occupancy
Sr1 Sr 0.1250 0.1250 0.0012 1
Sr2 Sr 0.1250 0.1250 0.5037 1
Li1 Li 0.1250 0.2920 0.1250 1
Ge1 Ge 0.1241 0.2915 0.8773 1
Ge2 Ge 0.1250 0.2922 0.6250 1

=====

# SrLiGe4 (PBE-GGA, relaxed)
# E ... -3.855 eV/atom
# M_tot ... 0.00 μB/f.u.
# Distance to the lowest polymorph of the same formula ... 0.0000 eV/atom
# Calculated volume ... 22.04 Å³ per atom
# Energy relative to the elements ... -1.1 eV/f.u.
data_SrLiGe4
_cell_length_a 8.0877
_cell_length_b 8.0877
_cell_length_c 8.0877
_cell_angle_alpha 90.00
_cell_angle_beta 90.00
_cell_angle_gamma 90.00
_symmetry_space_group_name_H-M 'F -4 3 m'
_symmetry_Int_Tables_number 216
_symmetry_space_group_name_Hall 'F -4 2 3'
loop_
_atom_site_label
_atom_site_type_symbol
_atom_site_fract_x
_atom_site_fract_y
_atom_site_fract_z
_atom_site_occupancy
Sr1 Sr 0.0000 0.0000 0.0000 1
Li1 Li 0.2500 0.2500 0.7500 1
Ge1 Ge 0.1238 0.1238 0.3762 1

=====

# SrLi3Ge2 (PBE-GGA, relaxed)
# E ... -3.155 eV/atom
# M_tot ... 0.00 μB/f.u.
# Distance to the lowest polymorph of the same formula ... 0.0131 eV/atom
# Calculated volume ... 21.38 Å³ per atom
# Energy relative to the elements ... -2.3 eV/f.u.
data_SrLi3Ge2
_cell_length_a 15.3793
_cell_length_b 4.4422
_cell_length_c 8.2580
_cell_angle_alpha 90.00
_cell_angle_beta 114.57
_cell_angle_gamma 90.00
_symmetry_space_group_name_H-M 'C 1 2/m 1'
_symmetry_Int_Tables_number 12
loop_
_symmetry_equiv_pos_as_xyz
'x,y,z'
'-x,-y,-z'
'-x,y,-z'
'x,-y,z'
'x+1/2,y+1/2,z'
'-x+1/2,-y+1/2,-z'
'-x+1/2,y+1/2,-z'
'x+1/2,-y+1/2,z'
loop_
_atom_site_label
_atom_site_type_symbol
_atom_site_fract_x
_atom_site_fract_y
_atom_site_fract_z
_atom_site_occupancy
Sr1 Sr 0.1590 0.0000 0.0745 1
Li1 Li 0.0306 0.0000 0.3587 1
Li2 Li 0.0906 0.5000 0.6771 1
Li3 Li 0.1830 0.5000 0.4581 1
Ge1 Ge 0.0191 0.5000 0.1541 1
Ge2 Ge 0.1782 0.0000 0.6779 1

=====

# SrLi3Ge2 (PBE-GGA, relaxed)
# E ... -3.168 eV/atom
# M_tot ... 0.00 μB/f.u.
# Distance to the lowest polymorph of the same formula ... 0.0000 eV/atom
# Calculated volume ... 20.04 Å³ per atom
# Energy relative to the elements ... -2.4 eV/f.u.
data_SrLi3Ge2
_cell_length_a 13.3325
_cell_length_b 4.4954
_cell_length_c 8.9632
_cell_angle_alpha 90.00
_cell_angle_beta 116.43
_cell_angle_gamma 90.00
_symmetry_space_group_name_H-M 'C 1 2/m 1'
_symmetry_Int_Tables_number 12
loop_
_symmetry_equiv_pos_as_xyz
'x,y,z'
'-x,-y,-z'
'-x,y,-z'
'x,-y,z'
'x+1/2,y+1/2,z'
'-x+1/2,-y+1/2,-z'
'-x+1/2,y+1/2,-z'
'x+1/2,-y+1/2,z'
loop_
_atom_site_label
_atom_site_type_symbol
_atom_site_fract_x
_atom_site_fract_y
_atom_site_fract_z
_atom_site_occupancy
Sr1 Sr 0.1295 0.0000 0.0089 1
Li1 Li 0.0536 0.0000 0.3957 1
Li2 Li 0.0896 0.5000 0.6682 1
Li3 Li 0.2472 0.5000 0.5767 1
Ge1 Ge 0.0848 0.5000 0.2497 1
Ge2 Ge 0.2130 0.0000 0.7219 1

=====

# Sr3LiGe3 (PBE-GGA, relaxed)
# E ... -3.544 eV/atom
# M_tot ... 0.00 μB/f.u.
# Calculated volume ... 27.48 Å³ per atom
# Energy relative to the elements ... -4.0 eV/f.u.
data_Sr3LiGe3
_cell_length_a 11.3915
_cell_length_b 4.7433
_cell_length_c 15.2443
_cell_angle_alpha 90.00
_cell_angle_beta 110.90
_cell_angle_gamma 90.00
_symmetry_space_group_name_H-M 'C 1 2/m 1'
_symmetry_Int_Tables_number 12
loop_
_symmetry_equiv_pos_as_xyz
'x,y,z'
'-x,-y,-z'
'-x,y,-z'
'x,-y,z'
'x+1/2,y+1/2,z'
'-x+1/2,-y+1/2,-z'
'-x+1/2,y+1/2,-z'
'x+1/2,-y+1/2,z'
loop_
_atom_site_label
_atom_site_type_symbol
_atom_site_fract_x
_atom_site_fract_y
_atom_site_fract_z
_atom_site_occupancy
Sr1 Sr 0.0432 0.0000 0.3836 1
Sr2 Sr 0.1014 0.0000 0.9221 1
Sr3 Sr 0.2467 0.0000 0.2260 1
Li1 Li 0.2472 0.5000 0.4046 1
Ge1 Ge 0.0432 0.5000 0.2264 1
Ge2 Ge 0.1026 0.5000 0.0743 1
Ge3 Ge 0.1190 0.5000 0.5463 1

=====

# Sr5Li4Ge4 (PBE-GGA, relaxed)
# E ... -3.059 eV/atom
# M_tot ... 0.00 μB/f.u.
# Calculated volume ... 27.30 Å³ per atom
# Energy relative to the elements ... -5.2 eV/f.u.
data_Sr5Li4Ge4
_cell_length_a 12.9723
_cell_length_b 12.9723
_cell_length_c 4.2177
_cell_angle_alpha 90.00
_cell_angle_beta 90.00
_cell_angle_gamma 90.00
_symmetry_space_group_name_H-M 'I 4/m'
_symmetry_Int_Tables_number 87
_symmetry_space_group_name_Hall '-I 4'
loop_
_atom_site_label
_atom_site_type_symbol
_atom_site_fract_x
_atom_site_fract_y
_atom_site_fract_z
_atom_site_occupancy
Sr1 Sr 0.0000 0.0000 0.0000 1
Sr2 Sr 0.1298 0.2147 0.5000 1
Li1 Li 0.0796 0.6002 0.5000 1
Ge1 Ge 0.0579 0.7422 0.0000 1

=====

# Sr2LiGe2 (PBE-GGA, relaxed)
# E ... -3.365 eV/atom
# M_tot ... 0.46 μB/f.u.
# Calculated volume ... 27.81 Å³ per atom
# Energy relative to the elements ... -2.3 eV/f.u.
data_Sr2LiGe2
_cell_length_a 11.0867
_cell_length_b 6.1888
_cell_length_c 8.3410
_cell_angle_alpha 90.00
_cell_angle_beta 103.58
_cell_angle_gamma 90.00
_symmetry_space_group_name_H-M 'C 1 2/c 1'
_symmetry_Int_Tables_number 15
loop_
_symmetry_equiv_pos_as_xyz
'x,y,z'
'-x,-y,-z'
'-x,y,-z+1/2'
'x,-y,z+1/2'
'x+1/2,y+1/2,z'
'-x+1/2,-y+1/2,-z'
'-x+1/2,y+1/2,-z+1/2'
'x+1/2,-y+1/2,z+1/2'
loop_
_atom_site_label
_atom_site_type_symbol
_atom_site_fract_x
_atom_site_fract_y
_atom_site_fract_z
_atom_site_occupancy
Sr1 Sr 0.1453 0.1517 0.1387 1
Li1 Li 0.0000 0.4100 0.7500 1
Ge1 Ge 0.1447 0.3412 0.5002 1

=====

# SrLiGe3 (PBE-GGA, relaxed)
# E ... -3.543 eV/atom
# M_tot ... 0.00 μB/f.u.
# Distance to the lowest polymorph of the same formula ... 0.2928 eV/atom
# Calculated volume ... 22.04 Å³ per atom
# Energy relative to the elements ... -0.3 eV/f.u.
data_SrLiGe3
_cell_length_a 4.7942
_cell_length_b 4.7942
_cell_length_c 4.7942
_cell_angle_alpha 90.00
_cell_angle_beta 90.00
_cell_angle_gamma 90.00
_symmetry_space_group_name_H-M 'P m -3 m'
_symmetry_Int_Tables_number 221
_symmetry_space_group_name_Hall '-P 4 2 3'
loop_
_atom_site_label
_atom_site_type_symbol
_atom_site_fract_x
_atom_site_fract_y
_atom_site_fract_z
_atom_site_occupancy
Sr1 Sr 0.0000 0.0000 0.0000 1
Li1 Li 0.5000 0.5000 0.5000 1
Ge1 Ge 0.0000 0.5000 0.5000 1